# AcNiAs, optimized geometry, DFT PBE
data_AcNiAs
_space_group_name_H-M_alt 'P 1'
_space_group_IT_number 1
_space_group_name_Hall 'P 1'
_cell_length_a 4.2605
_cell_length_b 4.2605
_cell_length_c 4.2870
_cell_angle_alpha 90.00
_cell_angle_beta 90.00
_cell_angle_gamma 120.00
loop_
_atom_site_label
_atom_site_type_symbol
_atom_site_fract_x
_atom_site_fract_y
_atom_site_fract_z
_atom_site_occupancy
Ac1 Ac 0.0000 0.0000 0.0000 1
Ni1 Ni 0.3333 0.6667 0.5000 1
As1 As 0.6667 0.3333 0.5000 1
# Formation energy   -974 meV/atom
# Total magnetization   0.000 μB/cell